Rb2CoB12H20O30 | PBE with a Hubbard U | optimized geometry

a = 7.6924 Å, b = 7.9431 Å, c = 11.0651 Å
α = 108.31°, β = 93.49°, γ = 91.63°
With the nearest neighbours (Å) after each atom.
Space group P-1 (No. 2)
Symmetry-distinct sites (fractional):
Rb  0.2361  0.3616  0.3994 [2 per cell]  8 O 2.87-3.18, 2 H 3.00-3.14
Co  0.5000  0.0000  0.0000 [1 per cell]  6 O 2.12-2.16
B  0.0399  0.2421  0.9563 [2 per cell]  3 O 1.36-1.39
B  0.1517  0.8561  0.5635 [2 per cell]  3 O 1.37-1.38
B  0.1726  0.9885  0.7995 [2 per cell]  4 O 1.44-1.52
B  0.3331  0.3014  0.8884 [2 per cell]  4 O 1.46-1.52
B  0.3734  0.1113  0.6522 [2 per cell]  4 O 1.46-1.53
B  0.3836  0.4359  0.7152 [2 per cell]  3 O 1.37-1.39
H  0.1123  0.7062  0.3768 [2 per cell]  1 O 0.99
H  0.1187  0.5712  0.9483 [2 per cell]  1 O 0.99
H  0.1997  0.0191  0.1268 [2 per cell]  1 O 0.99
H  0.2153  0.5453  0.1470 [2 per cell]  1 O 0.98
H  0.2176  0.8164  0.9014 [2 per cell]  1 O 1.00
H  0.3108  0.7182  0.2449 [2 per cell]  1 O 0.99
H  0.3679  0.0091  0.2148 [2 per cell]  1 O 1.01
H  0.3717  0.6978  0.7449 [2 per cell]  1 O 0.99
H  0.3811  0.9474  0.4036 [2 per cell]  1 O 1.00
H  0.4814  0.6423  0.9606 [2 per cell]  1 O 0.99
O  0.0369  0.0673  0.8850 [2 per cell]  2 B 1.36-1.47
O  0.0717  0.7211  0.4623 [2 per cell]  1 H 0.99
O  0.0907  0.8730  0.6804 [2 per cell]  2 B 1.37-1.44
O  0.0993  0.7001  0.9700 [2 per cell]  1 H 0.99
O  0.1742  0.3615  0.9581 [2 per cell]  2 B 1.38-1.49
O  0.2246  0.6193  0.2368 [2 per cell]  2 H 0.98-0.99
O  0.2841  0.1354  0.7764 [2 per cell]  3 B 1.52-1.53
O  0.2835  0.9670  0.5481 [2 per cell]  2 B 1.38-1.47
O  0.2911  0.8874  0.8612 [2 per cell]  1 H 1.00
O  0.3229  0.0633  0.1485 [2 per cell]  2 H 0.99-1.01
O  0.3654  0.2758  0.6207 [2 per cell]  2 B 1.37-1.46
O  0.3901  0.4473  0.8430 [2 per cell]  2 B 1.39-1.47
O  0.3950  0.5858  0.6776 [2 per cell]  1 H 0.99
O  0.4425  0.9269  0.3240 [2 per cell]  1 H 1.00
O  0.4671  0.2534  0.9693 [2 per cell]  1 H 0.99

For the total moment, the calculation gives 3.0 Bohr magnetons per cell. The calculation puts the raw total energy at -0.4725 Ry per atom. The value obtained for the density of states at the Fermi level is 0.0 states/eV per cell.